--- P ---
# TbMgH | the Alexandria database | PBE-GGA | relaxed
# - Magnetic moment: 0.0 Bohr magnetons per cell
data_TbMgH
_symmetry_space_group_name_H-M 'I m m 2'
_symmetry_Int_Tables_number 44
_symmetry_space_group_name_Hall 'I 2 -2'
_cell_length_a 4.789
_cell_length_b 27.916
_cell_length_c 4.813
_cell_angle_alpha 90.00
_cell_angle_beta 90.00
_cell_angle_gamma 90.00
loop_
_atom_site_label
_atom_site_fract_x
_atom_site_fract_y
_atom_site_fract_z
Tb1 0.000 0.083 0.000
Tb2 0.000 0.175 0.499
Tb3 0.000 0.413 0.000
Mg1 0.000 0.000 0.500
Mg2 0.000 0.248 0.999
Mg3 0.000 0.325 0.500
Mg4 0.000 0.500 0.500
H1 0.000 0.094 0.500
H2 0.000 0.329 0.995
H3 0.000 0.424 0.500


--- Q ---
# TbMgH | the Alexandria database | PBE-GGA | relaxed
# - Magnetic moment: 0.0 Bohr magnetons per cell
data_TbMgH
_symmetry_space_group_name_H-M 'P 3 m 1'
_symmetry_Int_Tables_number 156
_symmetry_space_group_name_Hall 'P 3 -2"'
_cell_length_a 3.5331
_cell_length_b 3.5331
_cell_length_c 5.6162
_cell_angle_alpha 90.00
_cell_angle_beta 90.00
_cell_angle_gamma 120.00
loop_
_atom_site_label
_atom_site_fract_x
_atom_site_fract_y
_atom_site_fract_z
Tb1 0.0000 0.0000 0.0000
Mg1 0.3333 0.6667 0.4989
H1 0.6667 0.3333 0.1386


--- R ---
# TbMgH | the Alexandria database | PBE-GGA | relaxed
# - Magnetic moment: 0.5 Bohr magnetons per cell
data_TbMgH
_symmetry_space_group_name_H-M 'I 4 m m'
_symmetry_Int_Tables_number 107
_symmetry_space_group_name_Hall 'I 4 -2'
_cell_length_a 3.215
_cell_length_b 3.215
_cell_length_c 12.004
_cell_angle_alpha 90.00
_cell_angle_beta 90.00
_cell_angle_gamma 90.00
loop_
_atom_site_label
_atom_site_fract_x
_atom_site_fract_y
_atom_site_fract_z
Tb1 0.000 0.000 0.000
Mg1 0.000 0.000 0.283
H1 0.000 0.000 0.520


The most stable of them is P.


--- P ---
# MgTcH2 | the Alexandria database | PBE-GGA | relaxed
# - Magnetic moment: 4.1 Bohr magnetons per cell
data_MgTcH2
_symmetry_space_group_name_H-M 'I -4 2 d'
_symmetry_Int_Tables_number 122
_symmetry_space_group_name_Hall 'I -4 2bw'
_cell_length_a 4.307
_cell_length_b 4.307
_cell_length_c 8.698
_cell_angle_alpha 90.00
_cell_angle_beta 90.00
_cell_angle_gamma 90.00
loop_
_atom_site_label
_atom_site_fract_x
_atom_site_fract_y
_atom_site_fract_z
Mg1 0.000 0.000 0.000
Tc1 0.000 0.000 0.500
H1 0.212 0.250 0.625


--- Q ---
# MgTcH2 | the Alexandria database | PBE-GGA | relaxed
# - Magnetic moment: 3.1 Bohr magnetons per cell
data_MgTcH2
_symmetry_space_group_name_H-M 'F m -3 m'
_symmetry_Int_Tables_number 225
_symmetry_space_group_name_Hall '-F 4 2 3'
_cell_length_a 5.284
_cell_length_b 5.284
_cell_length_c 5.284
_cell_angle_alpha 90.00
_cell_angle_beta 90.00
_cell_angle_gamma 90.00
loop_
_atom_site_label
_atom_site_fract_x
_atom_site_fract_y
_atom_site_fract_z
Mg1 0.000 0.000 0.000
Tc1 0.000 0.000 0.500
H1 0.250 0.250 0.250


The most stable of them is P.


--- P ---
# Mg2TcH | the Alexandria database | PBE-GGA | relaxed
# - Magnetic moment: 0.0 Bohr magnetons per cell
data_Mg2TcH
_symmetry_space_group_name_H-M 'I -4 2 d'
_symmetry_Int_Tables_number 122
_symmetry_space_group_name_Hall 'I -4 2bw'
_cell_length_a 5.663
_cell_length_b 5.663
_cell_length_c 7.150
_cell_angle_alpha 90.00
_cell_angle_beta 90.00
_cell_angle_gamma 90.00
loop_
_atom_site_label
_atom_site_fract_x
_atom_site_fract_y
_atom_site_fract_z
Mg1 0.120 0.750 0.125
Tc1 0.000 0.000 0.500
H1 0.000 0.000 0.000


--- Q ---
# Mg2TcH | the Alexandria database | PBE-GGA | relaxed
# - Magnetic moment: 7.9 Bohr magnetons per cell
data_Mg2TcH
_symmetry_space_group_name_H-M 'F m -3 m'
_symmetry_Int_Tables_number 225
_symmetry_space_group_name_Hall '-F 4 2 3'
_cell_length_a 6.355
_cell_length_b 6.355
_cell_length_c 6.355
_cell_angle_alpha 90.00
_cell_angle_beta 90.00
_cell_angle_gamma 90.00
loop_
_atom_site_label
_atom_site_fract_x
_atom_site_fract_y
_atom_site_fract_z
Mg1 0.250 0.250 0.250
Tc1 0.000 0.000 0.000
H1 0.000 0.000 0.500


The most stable of them is P.


--- P ---
# Mg2TcH6 | the Alexandria database | PBE-GGA | relaxed
# - Magnetic moment: 4.0 Bohr magnetons per cell
data_Mg2TcH6
_symmetry_space_group_name_H-M 'F m -3 m'
_symmetry_Int_Tables_number 225
_symmetry_space_group_name_Hall '-F 4 2 3'
_cell_length_a 6.716
_cell_length_b 6.716
_cell_length_c 6.716
_cell_angle_alpha 90.00
_cell_angle_beta 90.00
_cell_angle_gamma 90.00
loop_
_atom_site_label
_atom_site_fract_x
_atom_site_fract_y
_atom_site_fract_z
Mg1 0.250 0.250 0.250
Tc1 0.000 0.000 0.000
H1 0.000 0.000 0.259


--- Q ---
# Mg2TcH6 | the Alexandria database | PBE-GGA | relaxed
# - Magnetic moment: 2.0 Bohr magnetons per cell
data_Mg2TcH6
_symmetry_space_group_name_H-M 'P 42/m n m'
_symmetry_Int_Tables_number 136
_symmetry_space_group_name_Hall '-P 4n 2n'
_cell_length_a 4.345
_cell_length_b 4.345
_cell_length_c 8.677
_cell_angle_alpha 90.00
_cell_angle_beta 90.00
_cell_angle_gamma 90.00
loop_
_atom_site_label
_atom_site_fract_x
_atom_site_fract_y
_atom_site_fract_z
Mg1 0.000 0.000 0.168
Tc1 0.000 0.000 0.500
H1 0.188 0.188 0.347
H2 0.212 0.212 0.000


The most stable of them is P.


--- P ---
# MgTc2H | the Alexandria database | PBE-GGA | relaxed
# - Magnetic moment: 7.4 Bohr magnetons per cell
data_MgTc2H
_symmetry_space_group_name_H-M 'F m -3 m'
_symmetry_Int_Tables_number 225
_symmetry_space_group_name_Hall '-F 4 2 3'
_cell_length_a 5.955
_cell_length_b 5.955
_cell_length_c 5.955
_cell_angle_alpha 90.00
_cell_angle_beta 90.00
_cell_angle_gamma 90.00
loop_
_atom_site_label
_atom_site_fract_x
_atom_site_fract_y
_atom_site_fract_z
Mg1 0.000 0.000 0.000
Tc1 0.250 0.250 0.250
H1 0.000 0.000 0.500


--- Q ---
# MgTc2H | the Alexandria database | PBE-GGA | relaxed
# - Magnetic moment: 0.0 Bohr magnetons per cell
data_MgTc2H
_symmetry_space_group_name_H-M 'I 41/a m d'
_symmetry_Int_Tables_number 141
_cell_length_a 5.171
_cell_length_b 5.171
_cell_length_c 8.687
_cell_angle_alpha 90.00
_cell_angle_beta 90.00
_cell_angle_gamma 90.00
loop_
_symmetry_equiv_pos_as_xyz
'x,y,z'
'-x,-y,-z'
'-y+1/4,x+3/4,z+1/4'
'y+1/4,-x+3/4,-z+1/4'
'-x+1/2,-y,z+1/2'
'x+1/2,y,-z+1/2'
'y+1/4,-x+1/4,z+3/4'
'-y+1/4,x+1/4,-z+3/4'
'x,-y,-z'
'-x,y,z'
'-y+1/4,-x+1/4,-z+3/4'
'y+1/4,x+1/4,z+3/4'
'-x+1/2,y,-z+1/2'
'x+1/2,-y,z+1/2'
'y+1/4,x+3/4,-z+1/4'
'-y+1/4,-x+3/4,z+1/4'
'x+1/2,y+1/2,z+1/2'
'-x+1/2,-y+1/2,-z+1/2'
'-y+3/4,x+1/4,z+3/4'
'y+3/4,-x+1/4,-z+3/4'
'-x,-y+1/2,z'
'x,y+1/2,-z'
'y+3/4,-x+3/4,z+1/4'
'-y+3/4,x+3/4,-z+1/4'
'x+1/2,-y+1/2,-z+1/2'
'-x+1/2,y+1/2,z+1/2'
'-y+3/4,-x+3/4,-z+1/4'
'y+3/4,x+3/4,z+1/4'
'-x,y+1/2,-z'
'x,-y+1/2,z'
'y+3/4,x+1/4,-z+3/4'
'-y+3/4,-x+1/4,z+3/4'
loop_
_atom_site_label
_atom_site_fract_x
_atom_site_fract_y
_atom_site_fract_z
Mg1 0.000 0.250 0.375
Tc1 0.000 0.000 0.000
H1 0.000 0.250 0.875


The most stable of them is Q.


--- P ---
# MgTcH3 | the Alexandria database | PBE-GGA | relaxed
# - Magnetic moment: 0.0 Bohr magnetons per cell
data_MgTcH3
_symmetry_space_group_name_H-M 'P m -3 m'
_symmetry_Int_Tables_number 221
_symmetry_space_group_name_Hall '-P 4 2 3'
_cell_length_a 3.495
_cell_length_b 3.495
_cell_length_c 3.495
_cell_angle_alpha 90.00
_cell_angle_beta 90.00
_cell_angle_gamma 90.00
loop_
_atom_site_label
_atom_site_fract_x
_atom_site_fract_y
_atom_site_fract_z
Mg1 0.000 0.000 0.000
Tc1 0.500 0.500 0.500
H1 0.000 0.500 0.500


--- Q ---
# MgTcH3 | the Alexandria database | PBE-GGA | relaxed
# - Magnetic moment: 0.0 Bohr magnetons per cell
data_MgTcH3
_symmetry_space_group_name_H-M 'P m -3 m'
_symmetry_Int_Tables_number 221
_symmetry_space_group_name_Hall '-P 4 2 3'
_cell_length_a 3.429
_cell_length_b 3.429
_cell_length_c 3.429
_cell_angle_alpha 90.00
_cell_angle_beta 90.00
_cell_angle_gamma 90.00
loop_
_atom_site_label
_atom_site_fract_x
_atom_site_fract_y
_atom_site_fract_z
Mg1 0.000 0.000 0.000
Tc1 0.500 0.500 0.500
H1 0.000 0.000 0.500


The most stable of them is P.